[1]
This record from Alexandria describes a relaxed structure of Rb2NaSeBr. The functional is PBE-GGA.

Values from the calculation:
DOS(E_F)   0.0 states/eV/cell
SG   P4/mmm (123)
Raw formation energy   -1.17 eV per atom
E   -14.27 eV/cell

abc: 6.5998 6.5998 5.3680
angles: 90.00 90.00 90.00
With the nearest neighbours (Å) after each atom.
Fractional positions:
Na (0.0000, 0.0000, 0.5000)  2 Se 2.68
Se (0.0000, 0.0000, 0.0000)  2 Na 2.68
Br (0.5000, 0.5000, 0.5000)  8 Rb 4.25, 4 Na 4.67
Rb (0.0000, 0.5000, 0.0000)  2 Se 3.30
Rb (0.5000, 0.0000, 0.0000)  2 Se 3.30

***

[2]
This record from Alexandria describes a relaxed structure of CsHS3. The functional is PBE-GGA.

Values from the calculation:
DOS(E_F)   8.3 states/eV/cell
SG   Pm-3m (221)
E   -9.00 eV/cell

abc: 6.4365 6.4365 6.4365
angles: 90.00 90.00 90.00
With the nearest neighbours (Å) after each atom.
Fractional positions:
Cs (0.0000, 0.0000, 0.0000)  6 S 3.22
H (0.5000, 0.5000, 0.5000)  12 S 4.55
S (0.0000, 0.5000, 0.0000)  2 Cs 3.22
S (0.0000, 0.0000, 0.5000)  2 Cs 3.22
S (0.5000, 0.0000, 0.0000)  2 Cs 3.22

***

[3]
This record from Alexandria describes a relaxed structure of Sm3Ti2Ge4. The functional is PBE-GGA.

Values from the calculation:
DOS(E_F)   6.3 states/eV/cell
SG   C2/m (12)
DFT formation energy   -0.6911 eV per atom
E   -54.64 eV/cell

abc: 4.0996 6.4042 8.6531
angles: 110.17 90.00 108.67
With the nearest neighbours (Å) after each atom.
Fractional positions:
Sm (0.6164, 0.2329, 0.7000)  7 Ge 3.00-3.14, 3 Ti 3.30-3.32
Sm (0.0000, 0.0000, 0.0000)  6 Ge 3.15-3.33
Sm (0.3836, 0.7671, 0.3000)  7 Ge 3.00-3.14, 3 Ti 3.30-3.32
Ti (0.6940, 0.3880, 0.3698)  4 Ge 2.57-2.71
Ti (0.3060, 0.6120, 0.6302)  4 Ge 2.57-2.71
Ge (0.7098, 0.4195, 0.0723)  1 Ti 2.65, 2 Ge 2.76
Ge (0.2902, 0.5805, 0.9277)  1 Ti 2.65, 2 Ge 2.76
Ge (0.9201, 0.8402, 0.5894)  3 Ti 2.57-2.71
Ge (0.0799, 0.1598, 0.4106)  3 Ti 2.57-2.71